Entry 1:
Material: Li2DyTl
Method: DFT, PBE
State: relaxed Values from VASP.

```
&SYSTEM
  ibrav = 0, nat = 4, ntyp = 3
/
ATOMIC_SPECIES
Li 6.94 Li.upf
Dy 162.50 Dy.upf
Tl 204.38 Tl.upf
CELL_PARAMETERS angstrom
-0.763 3.047 3.910
-3.380 -1.212 3.502
1.516 -1.371 4.581
ATOMIC_POSITIONS crystal
Li 0.000 0.000 0.000
Li 0.250 0.250 0.250
Dy 0.500 0.500 0.500
Tl 0.750 0.750 0.750
```

M_tot   0.00 μB/cell
DFT formation energy   -0.83 eV per formula unit
Calculated volume   22.31 Å³/atom
Excess energy over the best structure of this formula in the dataset   0.06 eV per formula unit



Entry 2:
Material: Zr2NbOs
Method: DFT, PBE
State: relaxed Values from VASP.

```
&SYSTEM
  ibrav = 0, nat = 4, ntyp = 3
/
ATOMIC_SPECIES
Nb 92.91 Nb.upf
Os 190.23 Os.upf
Zr 91.22 Zr.upf
CELL_PARAMETERS angstrom
-2.529 -2.097 -0.050
1.357 -1.575 -2.544
3.446 -4.262 4.478
ATOMIC_POSITIONS crystal
Nb 0.500 0.500 0.500
Os 0.500 0.500 0.000
Zr 0.000 0.000 0.768
Zr 0.000 0.000 0.232
```

M_tot   0.00 μB/cell
DFT formation energy   -0.82 eV per formula unit
Calculated volume   19.10 Å³/atom